Crystalline CeHo2Tl3 at its relaxed geometry. Source: the Alexandria database, functional PBE.

Cell: 3.605 3.605 12.782 Å, 90.00 90.00 90.00°
Positions (direct):
Tl1 0.000 0.000 0.325
Tl2 0.000 0.000 0.000
Tl3 0.000 0.000 0.675
Ce1 0.500 0.500 0.500
Ho1 0.500 0.500 0.162
Ho2 0.500 0.500 0.838

Values from the calculation:
V ... 166.1 Å³/cell
Formation enthalpy at 0 K ... -1.8 eV per formula unit
Electronic total energy ... -23.98 eV per cell



Crystalline KBa2Hg2 at its relaxed geometry. Source: the Alexandria database, functional PBE.

Cell: 4.621 4.621 12.488 Å, 79.34 79.34 90.00°
Positions (direct):
Hg1 0.250 0.750 0.500
Hg2 0.750 0.250 0.500
K1 0.000 0.000 0.000
Ba1 0.358 0.358 0.284
Ba2 0.642 0.642 0.716

Values from the calculation:
V ... 257.3 Å³/cell
Formation enthalpy at 0 K ... -0.9 eV per formula unit
Electronic total energy ... -6.43 eV per cell



Crystalline AlZnP2 at its relaxed geometry. Source: the Alexandria database, functional PBE.

Cell: 4.716 4.716 4.716 Å, 135.35 114.14 83.09°
Positions (direct):
Zn1 0.250 0.750 0.500
P1 0.994 0.994 0.000
P2 0.506 0.506 0.000
Al1 0.750 0.250 0.500

Values from the calculation:
V ... 64.8 Å³/cell
Formation enthalpy at 0 K ... 0.9 eV per formula unit
Electronic total energy ... -14.95 eV per cell



Crystalline SmMgPtAu at its relaxed geometry. Source: the Alexandria database, functional PBE.

Cell: 4.638 5.286 4.648 Å, 115.97 119.93 90.00°
Positions (direct):
Pt1 0.968 0.905 0.936
Mg1 0.257 0.772 0.514
Au1 0.527 0.579 0.053
Sm1 0.748 0.244 0.496

Values from the calculation:
V ... 85.2 Å³/cell
Formation enthalpy at 0 K ... -3.5 eV per formula unit
Electronic total energy ... -19.12 eV per cell



Crystalline TaIn2W at its relaxed geometry. Source: the Alexandria database, functional PBE.

Cell: 5.506 5.506 2.917 Å, 81.77 81.77 116.36°
Positions (direct):
Ta1 0.500 0.000 0.500
W1 0.000 0.500 0.500
In1 0.000 0.000 0.000
In2 0.500 0.500 0.000

Values from the calculation:
V ... 76.3 Å³/cell
Formation enthalpy at 0 K ... 1.9 eV per formula unit
Electronic total energy ... -28.40 eV per cell



Crystalline LaSiRu at its relaxed geometry. Source: the Alexandria database, functional PBE.

Cell: 4.286 4.286 7.686 Å, 106.19 106.19 90.00°
Positions (direct):
La1 0.651 0.651 0.301
La2 0.349 0.349 0.699
Si1 0.094 0.094 0.187
Si2 0.906 0.906 0.813
Ru1 0.500 0.000 0.000
Ru2 0.000 0.500 0.000

Values from the calculation:
Formation energy (no corrections) ... -0.75 eV/atom
V ... 129.7 Å³/cell
Electronic total energy ... -43.77 eV per cell



Crystalline MgCrNi2C at its relaxed geometry. Source: the Alexandria database, functional PBE.

Cell: 3.869 3.869 3.872 Å, 90.00 90.00 90.00°
Positions (direct):
Ni1 0.000 0.500 0.000
Ni2 0.500 0.000 0.000
Mg1 0.500 0.500 0.500
Cr1 0.000 0.000 0.500
C1 0.000 0.000 0.000

Values from the calculation:
V ... 58.0 Å³/cell
Formation enthalpy at 0 K ... -0.1 eV per formula unit
Electronic total energy ... -32.06 eV per cell



Crystalline PrHoSe2 at its relaxed geometry. Source: the Alexandria database, functional PBE.

Cell: 4.023 4.023 7.712 Å, 74.88 74.88 60.00°
Positions (direct):
Pr1 0.672 0.672 0.985
Se1 0.246 0.246 0.262
Se2 0.087 0.087 0.738
Ho1 0.495 0.495 0.515

Values from the calculation:
Formation energy (no corrections) ... -1.75 eV/atom
V ... 103.1 Å³/cell
Electronic total energy ... -23.32 eV per cell



Crystalline LiU2Cl8 at its relaxed geometry. Source: the Alexandria database, functional PBE.

Cell: 7.324 7.860 7.860 Å, 64.40 68.73 68.73°
Positions (direct):
Cl1 0.757 0.751 0.168
Cl2 0.757 0.168 0.751
Cl3 0.200 0.293 0.293
Cl4 0.280 0.809 0.809
Cl5 0.800 0.707 0.707
Cl6 0.243 0.832 0.249
Cl7 0.243 0.249 0.832
Cl8 0.720 0.191 0.191
U1 0.471 0.098 0.098
U2 0.529 0.902 0.902
Li1 0.000 0.000 0.000

Values from the calculation:
Formation energy (no corrections) ... -1.57 eV/atom
V ... 368.7 Å³/cell
Electronic total energy ... -56.49 eV per cell



Crystalline Tl3CuTc2O8 at its relaxed geometry. Source: the Alexandria database, functional PBE.

Cell: 5.995 5.995 7.769 Å, 90.00 90.00 120.00°
Positions (direct):
Tc1 0.333 0.667 0.239
Tc2 0.667 0.333 0.761
O1 0.831 0.662 0.681
O2 0.169 0.831 0.319
O3 0.333 0.667 0.011
O4 0.169 0.338 0.319
O5 0.338 0.169 0.681
O6 0.831 0.169 0.681
O7 0.667 0.333 0.989
O8 0.662 0.831 0.319
Cu1 0.000 0.000 0.500
Tl1 0.667 0.333 0.327
Tl2 0.000 0.000 0.000
Tl3 0.333 0.667 0.673

Values from the calculation:
Formation energy (no corrections) ... -1.01 eV/atom
V ... 241.8 Å³/cell
Electronic total energy ... -85.72 eV per cell



Crystalline Tm2CCl2 at its relaxed geometry. Source: the Alexandria database, functional PBE.

Cell: 3.648 3.648 10.402 Å, 81.08 79.90 60.00°
Positions (direct):
Cl1 0.444 0.910 0.201
Cl2 0.556 0.090 0.799
Tm1 0.715 0.200 0.371
Tm2 0.285 0.800 0.629
C1 0.000 0.500 0.500

Values from the calculation:
Formation energy (no corrections) ... -1.57 eV/atom
V ... 117.7 Å³/cell
Electronic total energy ... -29.70 eV per cell



Crystalline SrSmHgIr at its relaxed geometry. Source: the Alexandria database, functional PBE.

Cell: 5.219 5.219 5.219 Å, 60.00 60.00 60.00°
Positions (direct):
Hg1 0.750 0.750 0.750
Sr1 0.000 0.000 0.000
Sm1 0.500 0.500 0.500
Ir1 0.250 0.250 0.250

Values from the calculation:
V ... 100.5 Å³/cell
Formation enthalpy at 0 K ... -1.3 eV per formula unit
Electronic total energy ... -16.90 eV per cell



Crystalline Ce3NiCl3 at its relaxed geometry. Source: the Alexandria database, functional PBE.

Cell: 9.963 9.963 9.963 Å, 109.47 109.47 109.47°
Positions (direct):
Ce1 0.510 0.020 0.260
Ce2 0.990 0.750 0.010
Ce3 0.250 0.010 0.490
Ce4 0.980 0.490 0.240
Ce5 0.510 0.490 0.750
Ce6 0.740 0.480 0.490
Ce7 0.990 0.240 0.480
Ce8 0.250 0.240 0.260
Ce9 0.760 0.750 0.240
Ce10 0.520 0.260 0.010
Ce11 0.760 0.010 0.020
Ce12 0.740 0.260 0.750
Cl1 0.750 0.995 0.505
Cl2 0.011 0.505 0.755
Cl3 0.005 0.250 0.995
Cl4 0.489 0.745 0.995
Cl5 0.255 0.511 0.505
Cl6 0.750 0.755 0.745
Cl7 0.495 0.989 0.745
Cl8 0.245 0.250 0.755
Cl9 0.255 0.745 0.250
Cl10 0.005 0.755 0.511
Cl11 0.245 0.995 0.989
Cl12 0.495 0.505 0.250
Ni1 0.500 0.250 0.500
Ni2 0.750 0.500 0.000
Ni3 0.750 0.250 0.250
Ni4 0.000 0.000 0.250

Values from the calculation:
Formation energy (no corrections) ... -1.32 eV/atom
V ... 761.2 Å³/cell
Electronic total energy ... -153.50 eV per cell



Crystalline TaTeBr2 at its relaxed geometry. Source: the Alexandria database, functional PBE.

Cell: 4.777 4.504 4.504 Å, 90.00 90.00 90.00°
Positions (direct):
Ta1 0.500 0.500 0.000
Te1 0.500 0.000 0.500
Br1 0.000 0.000 0.000
Br2 0.000 0.500 0.500

Values from the calculation:
Formation energy (no corrections) ... 0.84 eV/atom
V ... 96.9 Å³/cell
Electronic total energy ... -14.98 eV per cell



Crystalline TaHgRh2 at its relaxed geometry. Source: the Alexandria database, functional PBE.

Cell: 4.687 4.687 5.121 Å, 76.34 76.34 38.76°
Positions (direct):
Hg1 0.500 0.500 0.000
Rh1 0.736 0.736 0.275
Rh2 0.264 0.264 0.725
Ta1 0.000 0.000 0.500

Values from the calculation:
V ... 68.2 Å³/cell
Formation enthalpy at 0 K ... -0.3 eV per formula unit
Electronic total energy ... -27.13 eV per cell



Crystalline Pa2NiSe5 at its relaxed geometry. Source: the Alexandria database, functional PBE.

Cell: 5.598 6.847 12.714 Å, 90.00 90.00 114.13°
Positions (direct):
Ni1 0.786 0.573 0.750
Ni2 0.214 0.427 0.250
Pa1 0.154 0.308 0.569
Pa2 0.846 0.692 0.431
Pa3 0.846 0.692 0.069
Pa4 0.154 0.308 0.931
Se1 0.664 0.328 0.920
Se2 0.336 0.672 0.420
Se3 0.943 0.887 0.625
Se4 0.282 0.564 0.750
Se5 0.664 0.328 0.580
Se6 0.057 0.113 0.375
Se7 0.057 0.113 0.125
Se8 0.336 0.672 0.080
Se9 0.718 0.436 0.250
Se10 0.943 0.887 0.875

Values from the calculation:
Formation energy (no corrections) ... -0.93 eV/atom
V ... 444.7 Å³/cell
Electronic total energy ... -99.25 eV per cell



Crystalline Nd6SbAs2S3 at its relaxed geometry. Source: the Alexandria database, functional PBE.

Cell: 4.228 8.433 9.432 Å, 102.54 102.95 90.00°
Positions (direct):
As1 0.167 0.334 0.334
As2 0.833 0.666 0.666
S1 0.835 0.168 0.669
S2 0.165 0.832 0.331
S3 0.500 0.500 0.000
Nd1 0.667 0.583 0.334
Nd2 0.673 0.088 0.346
Nd3 0.333 0.417 0.666
Nd4 0.000 0.267 0.000
Nd5 0.327 0.912 0.654
Nd6 0.000 0.733 0.000
Sb1 0.500 0.000 0.000

Values from the calculation:
Formation energy (no corrections) ... -1.71 eV/atom
V ... 319.5 Å³/cell
Electronic total energy ... -74.94 eV per cell



Crystalline Ca2TcRu at its relaxed geometry. Source: the Alexandria database, functional PBE.

Cell: 4.926 4.926 4.926 Å, 60.00 60.00 60.00°
Positions (direct):
Ru1 0.500 0.500 0.500
Tc1 0.000 0.000 0.000
Ca1 0.250 0.250 0.250
Ca2 0.750 0.750 0.750

Values from the calculation:
V ... 84.5 Å³/cell
Formation enthalpy at 0 K ... 3.1 eV per formula unit
Electronic total energy ... -20.51 eV per cell



Crystalline PmLuPbI at its relaxed geometry. Source: the Alexandria database, functional PBE.

Cell: 5.478 5.478 5.478 Å, 60.00 60.00 60.00°
Positions (direct):
Pm1 0.750 0.750 0.750
Lu1 0.250 0.250 0.250
I1 0.500 0.500 0.500
Pb1 0.000 0.000 0.000

Values from the calculation:
Formation energy (no corrections) ... -0.49 eV/atom
V ... 116.3 Å³/cell
Electronic total energy ... -16.51 eV per cell



Crystalline Ni4PdRh at its relaxed geometry. Source: the Alexandria database, functional PBE.

Cell: 4.714 4.714 4.714 Å, 60.00 60.00 60.00°
Positions (direct):
Ni1 0.125 0.625 0.625
Ni2 0.625 0.625 0.125
Ni3 0.625 0.125 0.625
Ni4 0.625 0.625 0.625
Rh1 0.000 0.000 0.000
Pd1 0.250 0.250 0.250

Values from the calculation:
V ... 74.1 Å³/cell
Formation enthalpy at 0 K ... 0.5 eV per formula unit
Electronic total energy ... -35.21 eV per cell



Crystalline Zn6IrRh at its relaxed geometry. Source: the Alexandria database, functional PBE.

Cell: 4.691 6.112 6.492 Å, 43.63 63.85 72.53°
Positions (direct):
Ir1 0.500 0.500 0.500
Zn1 0.251 0.750 0.749
Zn2 0.620 0.881 0.880
Zn3 0.120 0.381 0.380
Zn4 0.880 0.619 0.620
Zn5 0.749 0.250 0.251
Zn6 0.380 0.119 0.120
Rh1 0.000 0.000 0.000

Values from the calculation:
V ... 115.2 Å³/cell
Formation enthalpy at 0 K ... -1.5 eV per formula unit
Electronic total energy ... -25.35 eV per cell



Crystalline Tb4Ho8Sc3 at its relaxed geometry. Source: the Alexandria database, functional PBE.

Cell: 6.623 9.052 9.052 Å, 87.04 111.37 111.37°
Positions (direct):
Tb1 0.500 0.000 0.000
Tb2 0.000 0.000 0.500
Tb3 0.000 0.000 0.000
Tb4 0.000 0.500 0.000
Ho1 0.500 0.259 0.741
Ho2 0.000 0.644 0.356
Ho3 0.520 0.271 0.271
Ho4 0.480 0.729 0.729
Ho5 0.990 0.723 0.723
Ho6 0.010 0.277 0.277
Ho7 0.500 0.741 0.259
Ho8 0.000 0.356 0.644
Sc1 0.500 0.500 0.500
Sc2 0.500 0.000 0.500
Sc3 0.500 0.500 0.000

Values from the calculation:
V ... 468.6 Å³/cell
Formation enthalpy at 0 K ... 5.8 eV per formula unit
Electronic total energy ... -68.33 eV per cell



Crystalline CoSnTe2 at its relaxed geometry. Source: the Alexandria database, functional PBE.

Cell: 9.401 9.401 9.401 Å, 22.57 22.57 22.57°
Positions (direct):
Sn1 0.000 0.000 0.000
Te1 0.884 0.884 0.884
Te2 0.116 0.116 0.116
Co1 0.500 0.500 0.500

Values from the calculation:
Formation energy (no corrections) ... -0.08 eV/atom
V ... 107.3 Å³/cell
Electronic total energy ... -17.71 eV per cell



Crystalline Rb3Ho2CdSe6 at its relaxed geometry. Source: the Alexandria database, functional PBE.

Cell: 7.279 7.279 8.417 Å, 98.26 98.26 119.97°
Positions (direct):
Rb1 0.835 0.165 0.500
Rb2 0.500 0.500 0.500
Rb3 0.165 0.835 0.500
Se1 0.935 0.597 0.804
Se2 0.403 0.065 0.196
Se3 0.065 0.403 0.196
Se4 0.727 0.727 0.195
Se5 0.273 0.273 0.805
Se6 0.597 0.935 0.804
Ho1 0.333 0.667 0.000
Ho2 0.667 0.333 0.000
Cd1 0.000 0.000 0.000

Values from the calculation:
Formation energy (no corrections) ... -1.32 eV/atom
V ... 370.0 Å³/cell
Electronic total energy ... -49.76 eV per cell



Crystalline Fe3PtBr at its relaxed geometry. Source: the Alexandria database, functional PBE.

Cell: 4.799 4.799 4.799 Å, 90.00 90.00 90.00°
Positions (direct):
Fe1 0.500 0.000 0.000
Fe2 0.000 0.000 0.500
Fe3 0.000 0.500 0.000
Pt1 0.000 0.000 0.000
Br1 0.500 0.500 0.500

Values from the calculation:
Formation energy (no corrections) ... 0.96 eV/atom
V ... 110.5 Å³/cell
Electronic total energy ... -28.31 eV per cell